Density functional theory data (PBE) for a relaxed structure of Th5SnBi2C.

## Properties
As for the energy: -61.3 eV/cell. Its crystal system is tetragonal. The calculation puts the spin magnetization at 0.000 μB/atom. Its symmetry is P4/mmm, No. 123.

Unit cell a=4.8663 b=4.8663 c=11.7122 alpha=90.00 beta=90.00 gamma=90.00
Closest atoms and distances in Å follow each position.
Atoms (fractional coordinates):
Th: 0.0000 0.5000 0.5000  2 C 2.43
Th: 0.5000 0.0000 0.5000  2 C 2.43
Th: 0.0000 0.0000 0.7294  1 C 2.69
Th: 0.0000 0.0000 0.2706  1 C 2.69
Th: 0.5000 0.5000 0.0000  2 Bi 3.35, 4 Sn 3.44
Sn: 0.0000 0.0000 0.0000  6 Th 3.17-3.44
Bi: 0.5000 0.5000 0.2857  9 Th 3.35-3.50
Bi: 0.5000 0.5000 0.7143  9 Th 3.35-3.50
C: 0.0000 0.0000 0.5000  6 Th 2.43-2.69